! ErZr2Ag | Alexandria | PBE-GGA | relaxed; values from VASP
! - energy of formation (eV/f.u.) = 1.27
&SYSTEM
  ibrav = 0, nat = 4, ntyp = 3
/
ATOMIC_SPECIES
Er 167.26 Er.upf
Zr 91.22 Zr.upf
Ag 107.87 Ag.upf
CELL_PARAMETERS angstrom
1.557 0.899 11.298
-1.557 0.899 11.298
0.000 -1.798 11.298
ATOMIC_POSITIONS angstrom
Er 0.000 0.000 0.000
Zr 0.000 0.000 3.174
Zr 0.000 0.000 30.719
Ag 0.000 0.000 16.947

=====

! HfS3Cl | Alexandria | PBE-GGA | relaxed; values from VASP
! - ΔE to the lowest computed polymorph (meV per atom) = 948
&SYSTEM
  ibrav = 0, nat = 5, ntyp = 3
/
ATOMIC_SPECIES
Hf 178.49 Hf.upf
S 32.06 S.upf
Cl 35.45 Cl.upf
CELL_PARAMETERS angstrom
4.540 0.000 0.000
0.000 4.540 0.000
0.000 0.000 4.540
ATOMIC_POSITIONS angstrom
Hf 0.000 0.000 0.000
S 0.000 2.270 2.270
S 2.270 0.000 2.270
S 2.270 2.270 0.000
Cl 2.270 2.270 2.270

=====

Density functional theory data (PBE-GGA) for AsIr2SI after structural relaxation. Values from VASP.

Quantum ESPRESSO input file:
```
&SYSTEM
  ibrav = 0, nat = 5, ntyp = 4
/
ATOMIC_SPECIES
As 74.92 As.upf
Ir 192.22 Ir.upf
S 32.06 S.upf
I 126.90 I.upf
CELL_PARAMETERS angstrom
4.271 0.000 0.000
0.000 4.271 0.000
0.000 0.000 7.587
ATOMIC_POSITIONS angstrom
As 0.000 0.000 0.000
Ir 0.000 2.136 3.794
Ir 2.136 0.000 3.794
S 2.136 2.136 3.794
I 2.136 2.136 0.000
```

=====

! TlAg2Hg | Alexandria | PBE-GGA | relaxed; values from VASP
! - energy of formation (eV/f.u.) = 0.37
&SYSTEM
  ibrav = 0, nat = 4, ntyp = 3
/
ATOMIC_SPECIES
Tl 204.38 Tl.upf
Ag 107.87 Ag.upf
Hg 200.59 Hg.upf
CELL_PARAMETERS angstrom
3.422 0.000 0.000
0.000 3.422 0.000
0.000 0.000 7.729
ATOMIC_POSITIONS angstrom
Tl 0.000 0.000 0.000
Ag 0.000 0.000 3.575
Ag 1.711 1.711 2.034
Hg 1.711 1.711 5.337

=====

Computed calculated total energy, in the same sequence as the records: -0.4270; -0.3056; -0.3369; -0.1470 Ry/atom.